Re3W | GGA-PBE | relaxed

Formation enthalpy at 0 K: 0.89 eV/f.u.
Energy relative to the lowest polymorph listed for this composition: 123.6 meV/atom
Electronic total energy: -12.35 eV/atom
Calculated density: 20.07 g cm⁻³

Unit cell a=2.712 b=2.712 c=8.857 alpha=90.00 beta=90.00 gamma=109.46
Element x y z (fractional)
1 Re 0.500 0.500 0.750
2 W 0.500 0.500 0.250
3 Re 0.000 0.000 0.501
4 Re 0.000 0.000 0.999

=====

Re3W5 | GGA-PBE | relaxed

Formation enthalpy at 0 K: 2.10 eV/f.u.
Energy relative to the lowest polymorph listed for this composition: 0.0 meV/atom
Electronic total energy: -12.50 eV/atom
Calculated density: 19.00 g cm⁻³

Unit cell a=4.991 b=7.668 c=7.665 alpha=96.83 beta=69.80 gamma=110.21
Element x y z (fractional)
1 W 0.219 0.170 0.702
2 Re 0.304 0.499 0.864
3 Re 0.196 0.863 0.500
4 W 0.431 0.168 0.297
5 W 0.750 0.499 0.500
6 Re 0.803 0.137 0.502
7 W 0.930 0.702 0.832
8 Re 0.251 0.000 0.000
9 W 0.282 0.703 0.170
10 W 0.569 0.830 0.702
11 Re 0.751 0.999 0.998
12 W 0.250 0.501 0.501
13 W 0.783 0.833 0.297
14 Re 0.696 0.502 0.139
15 W 0.718 0.298 0.833
16 W 0.068 0.297 0.169

=====

Re3W | GGA-PBE | relaxed

Formation enthalpy at 0 K: 0.56 eV/f.u.
Energy relative to the lowest polymorph listed for this composition: 40.1 meV/atom
Electronic total energy: -12.44 eV/atom
Calculated density: 20.14 g cm⁻³

Unit cell a=5.584 b=5.584 c=4.533 alpha=90.00 beta=90.00 gamma=120.00
Element x y z (fractional)
1 Re 0.834 0.166 0.750
2 Re 0.667 0.834 0.250
3 W 0.333 0.667 0.750
4 Re 0.834 0.667 0.750
5 W 0.667 0.333 0.250
6 Re 0.166 0.834 0.250
7 Re 0.166 0.333 0.250
8 Re 0.333 0.166 0.750

=====

Re2W | GGA-PBE | relaxed

Formation enthalpy at 0 K: 0.45 eV/f.u.
Energy relative to the lowest polymorph listed for this composition: 30.2 meV/atom
Electronic total energy: -12.47 eV/atom
Calculated density: 19.90 g cm⁻³

Unit cell a=6.273 b=6.273 c=3.961 alpha=90.00 beta=90.00 gamma=143.45
Element x y z (fractional)
1 W 0.086 0.914 0.250
2 Re 0.248 0.752 0.750
3 Re 0.412 0.588 0.250
4 Re 0.588 0.412 0.750
5 W 0.914 0.086 0.750
6 Re 0.752 0.248 0.250

=====

no.,size of the total moment (μB per formula unit)
1,0.00
2,0.00
3,0.00
4,0.00